No. 1
Material: RbCdRh3
Method: DFT, SCAN
State: PBEsol geometry

Lattice parameters (Å, degrees): 4.6936 4.6936 4.6936 90.00 90.00 90.00
Each line ends with the local moment (μB).
Positions (direct):
Cd1 0.5000 0.5000 0.5000  -0.01
Rh1 0.5000 0.0000 0.0000  0.28
Rh2 0.0000 0.5000 0.0000  0.28
Rh3 0.0000 0.0000 0.5000  0.28
Rb1 0.0000 0.0000 0.0000  0.01

Values from the calculation:
polymorph energy (0 for the lowest one): 842 meV per atom
DFT formation energy: 50.303 kcal/mol of atoms

No. 2
Material: BaBiTeI2
Method: DFT, SCAN
State: PBEsol geometry

Lattice parameters (Å, degrees): 6.3846 6.3846 6.7286 90.00 90.00 90.00
Each line ends with the local moment (μB).
Positions (direct):
I1 0.5000 0.0000 0.0000  0.00
I2 0.0000 0.5000 0.0000  0.00
Ba1 0.0000 0.0000 0.0000  0.00
Te1 0.0000 0.0000 0.5000  -0.59
Bi1 0.5000 0.5000 0.5000  1.23

Values from the calculation:
ΔE_f (raw): -198 meV/atom

No. 3
Material: LaReCl2
Method: DFT, SCAN
State: PBEsol geometry

Lattice parameters (Å, degrees): 3.3610 5.0448 5.1051 105.92 90.00 90.00
Positions (direct):
Cl1 0.5000 0.7305 0.2285
Cl2 0.0000 0.1650 0.9886
Re1 0.5000 0.0667 0.6489
La1 0.0000 0.5378 0.6341

Values from the calculation:
polymorph energy (0 for the lowest one): 0 meV per atom
ΔE_f (raw): -554 meV/atom

No. 4
Material: Rb2CaCu
Method: DFT, SCAN
State: PBEsol geometry

Lattice parameters (Å, degrees): 6.3072 6.3072 6.3072 60.00 60.00 60.00
Positions (direct):
Ca1 0.0000 0.0000 0.0000
Rb1 0.7500 0.7500 0.7500
Rb2 0.2500 0.2500 0.2500
Cu1 0.5000 0.5000 0.5000

Values from the calculation:
DFT formation energy: 15.011 kcal/mol of atoms

No. 5
Material: LiZr5TlF22
Method: DFT, SCAN
State: PBEsol geometry

Lattice parameters (Å, degrees): 8.0123 8.0130 11.5488 90.00 90.00 90.00
Positions (direct):
F1 0.9144 0.0480 0.4010
F2 0.4302 0.9628 0.7889
F3 0.2868 0.8193 0.2112
F4 0.9302 0.4628 0.2111
F5 0.4145 0.9511 0.4010
F6 0.8583 0.8912 0.0837
F7 0.7985 0.1639 0.5990
F8 0.2132 0.3193 0.2112
F9 0.8580 0.6078 0.9164
F10 0.9302 0.0363 0.7889
F11 0.3580 0.1078 0.0836
F12 0.2985 0.6639 0.4010
F13 0.0000 0.7495 0.7033
F14 0.6420 0.1078 0.9164
F15 0.0698 0.4628 0.7889
F16 0.4144 0.5480 0.5990
F17 0.5855 0.9511 0.5990
F18 0.0856 0.0480 0.5990
F19 0.5000 0.2495 0.2967
F20 0.0698 0.0363 0.2111
F21 0.0000 0.7495 0.2967
F22 0.2015 0.3351 0.5990
F23 0.7985 0.3351 0.4010
F24 0.7869 0.1797 0.2111
F25 0.2985 0.8351 0.5990
F26 0.1417 0.8912 0.9163
F27 0.5856 0.5480 0.4010
F28 0.9145 0.4511 0.5990
F29 0.2131 0.1797 0.7889
F30 0.7015 0.6639 0.5990
F31 0.0855 0.4511 0.4010
F32 0.7131 0.6797 0.2111
F33 0.5000 0.2495 0.7033
F34 0.2015 0.1639 0.4010
F35 0.3583 0.3912 0.9163
F36 0.1420 0.6078 0.0836
F37 0.6417 0.3912 0.0837
F38 0.7015 0.8351 0.4010
F39 0.7132 0.8193 0.7888
F40 0.5698 0.9628 0.2111
F41 0.2869 0.6797 0.7889
F42 0.7868 0.3193 0.7888
F43 0.4302 0.5363 0.2111
F44 0.5698 0.5363 0.7889
Zr1 0.3196 0.4299 0.7472
Zr2 0.0000 0.2495 0.5000
Zr3 0.1804 0.9299 0.7472
Zr4 0.5000 0.7495 0.5000
Zr5 0.8196 0.9299 0.2528
Zr6 0.6804 0.4299 0.2528
Zr7 0.1803 0.5692 0.2528
Zr8 0.3197 0.0692 0.2528
Zr9 0.6803 0.0692 0.7472
Zr10 0.8197 0.5692 0.7472
Li1 0.5000 0.2493 0.0000
Li2 0.0000 0.7493 0.0000
Tl1 0.5000 0.7484 0.0000
Tl2 0.0000 0.2484 0.0000

Values from the calculation:
ΔE_f (raw): -3825 meV/atom

No. 6
Material: ScCd3Te
Method: DFT, SCAN
State: PBEsol geometry

Lattice parameters (Å, degrees): 5.4337 5.4337 5.4337 90.00 90.00 90.00
Each line ends with the local moment (μB).
Positions (direct):
Sc1 0.5000 0.5000 0.5000  0.24
Te1 0.0000 0.0000 0.0000  0.00
Cd1 0.5000 0.0000 0.0000  0.00
Cd2 0.0000 0.5000 0.0000  0.00
Cd3 0.0000 0.0000 0.5000  0.00

Values from the calculation:
ΔE_f (raw): 735 meV/atom

No. 7
Material: Li4CuNi3O8
Method: DFT, SCAN
State: PBEsol geometry

Lattice parameters (Å, degrees): 5.6604 5.7430 5.6517 118.72 90.00 119.53
Each line ends with the local moment (μB).
Positions (direct):
Ni1 0.5000 0.0000 0.0000  0.88
Ni2 0.0000 0.5000 0.5000  0.68
Ni3 0.5000 0.5000 0.5000  0.68
O1 0.2593 0.5187 0.2874  0.01
O2 0.7407 0.4813 0.7126  0.01
O3 0.2468 0.4936 0.7399  0.15
O4 0.2817 0.0440 0.2512  0.06
O5 0.2377 0.9560 0.7488  0.06
O6 0.7623 0.0440 0.2512  0.06
O7 0.7183 0.9560 0.7488  0.06
O8 0.7532 0.5064 0.2601  0.15
Li1 0.0000 0.5000 0.0000  0.01
Li2 0.5000 0.5000 0.0000  0.01
Li3 0.5000 0.0000 0.5000  0.01
Li4 0.0000 0.0000 0.5000  0.01
Cu1 0.0000 0.0000 0.0000  0.81

Values from the calculation:
ΔE_f (raw): -1538 meV/atom

No. 8
Material: InRhBr2
Method: DFT, SCAN
State: PBEsol geometry

Lattice parameters (Å, degrees): 3.5113 5.3409 6.5139 114.69 90.00 109.19
Positions (direct):
Br1 0.2733 0.5466 0.6796
Br2 0.0951 0.1902 0.0733
Rh1 0.7022 0.4043 0.3760
In1 0.4294 0.8589 0.3711

Values from the calculation:
polymorph energy (0 for the lowest one): 0 meV per atom
ΔE_f (raw): -302 meV/atom

Fermi-level density of states
In order: 0.913, 0.707, 0.473, 0.553, 0.000, 1.007, 0.368, 0.365
Unit: states/eV per atom
Magnetic moment
In order: 0.153, 0.199, 0.000, 0.000, 0.000, 0.079, 0.232, 0.000
Unit: μB per atom